Material: Mn2WSe
Method: DFT, PBE-GGA
State: optimized geometry

Geometry as POSCAR:
```
Mn2WSe
1.0
-3.5491 2.7441 1.5612
-3.7308 -2.5910 1.3895
4.6401 -0.1902 0.9982
Mn Se W
2 1 1
Cartesian
0.0000 0.0000 0.0000
-3.6399 0.0765 1.4753
-1.3653 -1.3524 1.9315
-1.2745 1.3152 2.0173
```

Computed properties:
energy: -8.22 eV per atom
ΔE_f (raw): 0.473 eV per atom